Entry 1:
Below is a relaxed structure of Hf3CdHg, with properties calculated at the PBE-GGA level.

Cell lengths 5.2024, 5.2024, 5.2024 Å; angles 90.00, 90.00, 90.00 degrees
Space group Pm-3m (No. 221)
Symmetry-distinct sites (fractional):
1 Hf 0.0000 0.0000 0.5000 (multiplicity 3)
2 Cd 0.5000 0.5000 0.5000 (multiplicity 1)
3 Hg 0.0000 0.0000 0.0000 (multiplicity 1)

Results
The value obtained for the density of states at the Fermi level is 2.02 states/eV/f.u. For the formation energy, the calculation gives 1044.8 meV per atom. The energy relative to the lowest polymorph listed for this composition is 761 meV/atom.

Entry 2:
Below is a relaxed structure of LaHfCdHg2, with properties calculated at the PBE-GGA level.

Cell lengths 5.6754, 5.6754, 5.7700 Å; angles 90.00, 90.00, 90.00 degrees
Space group P4/mmm (No. 123)
Symmetry-distinct sites (fractional):
1 La 0.0000 0.0000 0.0000 (multiplicity 1)
2 Hf 0.5000 0.5000 0.5000 (multiplicity 1)
3 Cd 0.0000 0.0000 0.5000 (multiplicity 1)
4 Hg 0.0000 0.5000 0.0000 (multiplicity 2)

Results
The value obtained for the density of states at the Fermi level is 8.61 states/eV/f.u. For the formation energy, the calculation gives 1231.2 meV per atom.

Please write out number 2 again, unchanged.
Below is a relaxed structure of LaHfCdHg2, with properties calculated at the PBE-GGA level.

Cell lengths 5.6754, 5.6754, 5.7700 Å; angles 90.00, 90.00, 90.00 degrees
Space group P4/mmm (No. 123)
Symmetry-distinct sites (fractional):
1 La 0.0000 0.0000 0.0000 (multiplicity 1)
2 Hf 0.5000 0.5000 0.5000 (multiplicity 1)
3 Cd 0.0000 0.0000 0.5000 (multiplicity 1)
4 Hg 0.0000 0.5000 0.0000 (multiplicity 2)

Results
The value obtained for the density of states at the Fermi level is 8.61 states/eV/f.u. For the formation energy, the calculation gives 1231.2 meV per atom.